No. 1
A plane-wave DFT calculation with PBE was carried out for crystalline La6Tc2Ag at its relaxed geometry.

Computed properties:
As for the symmetry: Immm (71).

Cell and atoms, written as POSCAR:
```
La6Tc2Ag
1.0
8.3182 0.0608 -3.0172
-4.3719 7.2544 -2.5613
-0.0755 -0.0608 8.8482
La Tc Ag
12 4 2
direct
0.7997 0.2288 0.0286
0.2003 0.2288 0.4291
0.6852 0.0118 0.3266
0.3148 0.6414 0.3266
0.4707 0.2845 0.1862
0.9017 0.7155 0.1862
0.5293 0.7155 0.8138
0.7997 0.7712 0.5709
0.2003 0.7712 0.9714
0.6852 0.3586 0.6734
0.3148 0.9882 0.6734
0.0983 0.2845 0.8138
0.3246 0.0000 0.3246
0.5000 0.6156 0.1156
0.5000 0.3844 0.8844
0.6754 0.0000 0.6754
0.0000 0.5000 0.5000
0.0000 0.0000 0.0000
```


No. 2
A plane-wave DFT calculation with PBE was carried out for crystalline LaTc2Ag at its relaxed geometry.

Computed properties:
As for the symmetry: P4mm (99). The energy above the most stable polymorph in this dataset comes out at 0.000 eV/atom.

Cell and atoms, written as POSCAR:
```
LaTc2Ag
1.0
-0.8437 -2.7505 -1.2119
2.6667 -0.1044 -1.6197
3.5722 -3.7949 6.1259
Tc Ag La
2 1 1
direct
0.5000 0.5000 0.2179
0.0000 0.0000 0.0551
0.0000 0.0000 0.4582
0.5000 0.5000 0.7688
```


No. 3
A plane-wave DFT calculation with PBE was carried out for crystalline La2TcAg at its relaxed geometry.

Computed properties:
As for the symmetry: I-42d (122).

Cell and atoms, written as POSCAR:
```
La2TcAg
1.0
-0.1182 7.8073 1.8214
-7.9649 -0.3214 0.8611
-3.6747 3.0198 4.4644
La Ag Tc
4 2 2
direct
0.5754 0.1250 0.2500
0.1746 0.6250 0.2500
0.3750 0.4246 0.7500
0.8750 0.8254 0.7500
0.7500 0.2500 0.5000
0.0000 0.0000 0.0000
0.2500 0.7500 0.5000
0.5000 0.5000 0.0000
```


No. 4
A plane-wave DFT calculation with PBE was carried out for crystalline LaTc2Ag at its relaxed geometry.

Computed properties:
As for the symmetry: I4/mmm (139). The energy above the most stable polymorph in this dataset comes out at 0.519 eV/atom.

Cell and atoms, written as POSCAR:
```
LaTc2Ag
1.0
5.3565 0.0241 0.0000
2.1130 4.9222 0.0000
-3.7347 -2.4731 2.9373
Tc La Ag
2 1 1
direct
0.5000 0.5000 0.0000
0.0000 0.0000 0.0000
0.7500 0.2500 0.5000
0.2500 0.7500 0.5000
```


No. 5
A plane-wave DFT calculation with PBE was carried out for crystalline La2TcAg at its relaxed geometry.

Computed properties:
As for the symmetry: I-4m2 (119).

Cell and atoms, written as POSCAR:
```
La2TcAg
1.0
-0.0451 2.2450 -5.2326
-1.9085 -3.6598 -3.9225
-1.9761 1.7435 5.0475
La Tc Ag
2 1 1
direct
0.0000 0.0000 0.0000
0.2500 0.7500 0.5000
0.5000 0.5000 0.0000
0.7500 0.2500 0.5000
```


No. 6
A plane-wave DFT calculation with PBE was carried out for crystalline La5Tc2Ag2 at its relaxed geometry.

Computed properties:
As for the symmetry: Cmce (64).

Cell and atoms, written as POSCAR:
```
La5Tc2Ag2
1.0
7.3204 0.0000 2.6573
0.0000 7.8307 0.0000
0.8404 0.0000 9.0969
La Tc Ag
10 4 4
direct
0.8117 0.8144 0.7445
0.0563 0.6856 0.2555
0.5563 0.8144 0.2555
0.4437 0.1856 0.7445
0.1883 0.1856 0.2555
0.5000 0.5000 0.0000
0.3117 0.6856 0.7445
0.0000 0.0000 0.0000
0.9437 0.3144 0.7445
0.6883 0.3144 0.2555
0.1293 0.4144 0.0000
0.6293 0.0856 0.0000
0.8707 0.5856 0.0000
0.3707 0.9144 0.0000
0.2790 0.5000 0.4419
0.2210 0.0000 0.5581
0.7210 0.5000 0.5581
0.7790 0.0000 0.4419
```


| no. | theoretical density (g cm⁻³) | total DFT energy (no corrections) (eV/atom) |
| --- | --- | --- |
| 1 | 7.09 | -5.984 |
| 2 | 9.38 | -6.969 |
| 3 | 7.74 | -5.579 |
| 4 | 9.51 | -6.450 |
| 5 | 8.47 | -5.571 |
| 6 | 7.29 | -5.748 |